1.
This record from the Alexandria database describes an optimized crystal structure of Pr6TlSn2Se3. The functional is PBE.

Unit cell a=4.390 b=8.950 c=10.045 alpha=107.25 beta=102.62 gamma=90.00
Atoms (fractional coordinates):
Pr  0.334  0.417  0.669
Pr  0.994  0.264  0.988
Pr  0.006  0.736  0.012
Pr  0.672  0.073  0.343
Pr  0.666  0.583  0.331
Pr  0.328  0.927  0.657
Sn  0.163  0.323  0.326
Sn  0.837  0.677  0.674
Se  0.500  0.500  0.000
Se  0.832  0.171  0.664
Se  0.168  0.829  0.336
Tl  0.500  0.000  0.000

## Properties
As for the formation energy (no corrections): -1.213 eV/atom.

2.
This record from the Alexandria database describes an optimized crystal structure of Zn6Cu10Ge. The functional is PBE.

Unit cell a=5.058 b=7.183 c=7.183 alpha=120.00 beta=90.00 gamma=90.00
Atoms (fractional coordinates):
Cu  0.179  0.000  0.722
Cu  0.179  0.278  0.278
Cu  0.179  0.722  0.000
Cu  0.821  0.000  0.278
Cu  0.500  0.667  0.333
Cu  0.000  0.667  0.333
Cu  0.821  0.278  0.000
Cu  0.000  0.333  0.667
Cu  0.821  0.722  0.722
Cu  0.500  0.333  0.667
Zn  0.296  0.377  0.000
Zn  0.296  0.000  0.377
Zn  0.704  0.000  0.623
Zn  0.296  0.623  0.623
Zn  0.704  0.377  0.377
Zn  0.704  0.623  0.000
Ge  0.500  0.000  0.000

## Properties
The formation energy is -2 kJ per mole of atoms.